## Zr2NbPt (PBE)

Data for a geometry-optimized Zr2NbPt structure.

Cell: 4.756 4.756 4.756 Å, 60.00 60.00 60.00°
Sites, in units of the cell vectors:
Zr  0.250  0.250  0.250
Zr  0.750  0.750  0.750
Nb  0.000  0.000  0.000
Pt  0.500  0.500  0.500

Properties
**Total moment**: 0.00 μB per formula unit
**Calculated total energy**: -35.1 eV per cell
**DOS at the Fermi energy**: 2.74 states/eV/f.u.
**DFT formation energy**: -0.471 eV/atom